No. 1
! Mo2PbSe (PBE-GGA, relaxed); values from VASP
! **Volume**: 170.4 Å³/cell
! **E**: -6.5672 eV/atom
! **Formation energy without anion corrections**: 0.65 eV per atom
&SYSTEM
  ibrav = 0, nat = 8, ntyp = 3
/
ATOMIC_SPECIES
Pb 207.20 Pb.upf
Mo 95.94 Mo.upf
Se 78.96 Se.upf
CELL_PARAMETERS angstrom
-2.102 -2.167 3.070
1.495 -3.710 -1.595
7.055 -2.325 6.209
ATOMIC_POSITIONS crystal
Pb 0.000 0.000 0.000
Pb 0.750 0.250 0.500
Mo 0.535 0.125 0.250
Mo 0.215 0.625 0.250
Mo 0.375 0.465 0.750
Mo 0.875 0.785 0.750
Se 0.500 0.500 0.000
Se 0.250 0.750 0.500

No. 2
! IrRhS2Br (PBE-GGA, relaxed); values from VASP
! **Volume**: 109.4 Å³/cell
! **E**: -4.4992 eV/atom
! **Formation energy without anion corrections**: 0.73 eV per atom
&SYSTEM
  ibrav = 0, nat = 5, ntyp = 4
/
ATOMIC_SPECIES
S 32.06 S.upf
Ir 192.22 Ir.upf
Rh 102.91 Rh.upf
Br 79.90 Br.upf
CELL_PARAMETERS angstrom
-1.582 -2.664 -3.163
4.069 -0.399 -1.699
0.929 -4.429 3.266
ATOMIC_POSITIONS crystal
S 0.000 0.500 0.000
S 0.500 0.000 0.000
Ir 0.000 0.000 0.000
Rh 0.000 0.000 0.500
Br 0.500 0.500 0.500

No. 3
! Li2SmEr2Mg5 (PBE-GGA, relaxed); values from VASP
! **Volume**: 493.8 Å³/cell
! **E**: -2.5739 eV/atom
! **ΔH_f (0 K)**: -9 meV per atom
&SYSTEM
  ibrav = 0, nat = 20, ntyp = 4
/
ATOMIC_SPECIES
Li 6.94 Li.upf
Sm 150.36 Sm.upf
Er 167.26 Er.upf
Mg 24.30 Mg.upf
CELL_PARAMETERS angstrom
4.432 0.000 0.000
0.000 10.555 0.000
0.000 0.000 10.555
ATOMIC_POSITIONS crystal
Li 0.000 0.114 0.614
Li 0.000 0.886 0.386
Li 0.000 0.614 0.886
Li 0.000 0.386 0.114
Sm 0.000 0.000 0.000
Sm 0.000 0.500 0.500
Er 0.000 0.680 0.180
Er 0.000 0.320 0.820
Er 0.000 0.180 0.320
Er 0.000 0.820 0.680
Mg 0.500 0.216 0.064
Mg 0.500 0.784 0.936
Mg 0.500 0.064 0.784
Mg 0.500 0.716 0.436
Mg 0.500 0.936 0.216
Mg 0.500 0.284 0.564
Mg 0.500 0.564 0.716
Mg 0.500 0.436 0.284
Mg 0.500 0.500 0.000
Mg 0.500 0.000 0.500

No. 4
! TbPr2Tl2 (PBE-GGA, relaxed); values from VASP
! **Volume**: 158.0 Å³/cell
! **E**: -4.0765 eV/atom
! **ΔH_f (0 K)**: -292 meV per atom
&SYSTEM
  ibrav = 0, nat = 5, ntyp = 3
/
ATOMIC_SPECIES
Tb 158.93 Tb.upf
Pr 140.91 Pr.upf
Tl 204.38 Tl.upf
CELL_PARAMETERS angstrom
4.956 0.000 0.000
2.478 5.716 -0.139
2.478 1.397 5.544
ATOMIC_POSITIONS crystal
Tb 0.000 0.000 0.000
Pr 0.192 0.308 0.308
Pr 0.808 0.692 0.692
Tl 0.500 0.280 0.720
Tl 0.500 0.720 0.280

No. 5
! Ac4SiAgI2 (PBE-GGA, relaxed); values from VASP
! **Volume**: 300.6 Å³/cell
! **E**: -4.1987 eV/atom
! **Formation energy without anion corrections**: -0.72 eV per atom
&SYSTEM
  ibrav = 0, nat = 8, ntyp = 4
/
ATOMIC_SPECIES
Ac 227.00 Ac.upf
Si 28.09 Si.upf
Ag 107.87 Ag.upf
I 126.90 I.upf
CELL_PARAMETERS angstrom
-3.684 1.610 -2.106
-4.495 -6.226 3.103
-0.379 6.311 5.489
ATOMIC_POSITIONS crystal
Ac 0.500 0.225 0.207
Ac 0.500 0.775 0.793
Ac 0.000 0.260 0.794
Ac 0.000 0.740 0.206
Si 0.000 0.000 0.000
Ag 0.500 0.500 0.000
I 0.500 0.000 0.500
I 0.000 0.500 0.500

No. 6
! InCuPCl2 (PBE-GGA, relaxed); values from VASP
! **Volume**: 107.6 Å³/cell
! **E**: -3.1649 eV/atom
! **Formation energy without anion corrections**: 0.02 eV per atom
&SYSTEM
  ibrav = 0, nat = 5, ntyp = 4
/
ATOMIC_SPECIES
P 30.97 P.upf
Cl 35.45 Cl.upf
Cu 63.55 Cu.upf
In 114.82 In.upf
CELL_PARAMETERS angstrom
4.592 0.000 0.000
0.000 4.592 0.000
0.000 0.000 5.105
ATOMIC_POSITIONS crystal
P 0.000 0.000 0.500
Cl 0.000 0.500 0.000
Cl 0.500 0.000 0.000
Cu 0.000 0.000 0.000
In 0.500 0.500 0.500

No. 7
! Ho7Er (PBE-GGA, relaxed); values from VASP
! **Volume**: 244.6 Å³/cell
! **E**: -4.5534 eV/atom
! **ΔH_f (0 K)**: 22 meV per atom
&SYSTEM
  ibrav = 0, nat = 8, ntyp = 2
/
ATOMIC_SPECIES
Ho 164.93 Ho.upf
Er 167.26 Er.upf
CELL_PARAMETERS angstrom
7.020 0.000 0.000
3.510 6.079 0.000
3.510 2.026 5.732
ATOMIC_POSITIONS crystal
Ho 0.500 0.500 0.000
Ho 0.500 0.000 0.500
Ho 0.000 0.500 0.500
Ho 0.500 0.000 0.000
Ho 0.000 0.500 0.000
Ho 0.000 0.000 0.500
Ho 0.500 0.500 0.500
Er 0.000 0.000 0.000

No. 8
! YHo3 (PBE-GGA, relaxed); values from VASP
! **Volume**: 127.0 Å³/cell
! **E**: -5.0472 eV/atom
! **ΔH_f (0 K)**: 2 meV per atom
&SYSTEM
  ibrav = 0, nat = 4, ntyp = 2
/
ATOMIC_SPECIES
Y 88.91 Y.upf
Ho 164.93 Ho.upf
CELL_PARAMETERS angstrom
-1.833 -3.065 0.590
0.515 -1.349 -5.411
5.372 -2.972 1.253
ATOMIC_POSITIONS crystal
Y 0.000 0.500 0.334
Ho 0.000 0.000 0.999
Ho 0.500 0.000 0.501
Ho 0.500 0.500 0.834

No. 9
! DyEr2Tm3Te6 (PBE-GGA, relaxed); values from VASP
! **Volume**: 340.6 Å³/cell
! **E**: -5.0329 eV/atom
! **Formation energy without anion corrections**: -1.20 eV per atom
&SYSTEM
  ibrav = 0, nat = 12, ntyp = 4
/
ATOMIC_SPECIES
Dy 162.50 Dy.upf
Er 167.26 Er.upf
Tm 168.93 Tm.upf
Te 127.60 Te.upf
CELL_PARAMETERS angstrom
4.294 0.000 0.000
0.000 8.668 0.252
-2.147 -2.558 9.077
ATOMIC_POSITIONS crystal
Dy 0.500 0.000 0.000
Er 0.835 0.670 0.669
Er 0.165 0.330 0.331
Tm 0.500 0.500 0.000
Tm 0.835 0.168 0.670
Tm 0.165 0.832 0.330
Te 0.331 0.918 0.663
Te 0.667 0.583 0.334
Te 0.669 0.082 0.337
Te 0.000 0.253 0.000
Te 0.000 0.747 0.000
Te 0.333 0.417 0.666

No. 10
! TbBeTc (PBE-GGA, relaxed); values from VASP
! **Volume**: 217.1 Å³/cell
! **E**: -6.3040 eV/atom
! **ΔH_f (0 K)**: -63 meV per atom
&SYSTEM
  ibrav = 0, nat = 12, ntyp = 3
/
ATOMIC_SPECIES
Tc 98.00 Tc.upf
Tb 158.93 Tb.upf
Be 9.01 Be.upf
CELL_PARAMETERS angstrom
4.375 0.000 0.000
0.000 11.343 0.000
0.000 0.000 4.375
ATOMIC_POSITIONS crystal
Tc 0.250 0.250 0.249
Tc 0.750 0.250 0.749
Tc 0.250 0.750 0.251
Tc 0.750 0.750 0.751
Tb 0.750 0.581 0.251
Tb 0.250 0.919 0.751
Tb 0.750 0.081 0.249
Tb 0.250 0.419 0.749
Be 0.750 0.822 0.251
Be 0.250 0.678 0.751
Be 0.750 0.322 0.249
Be 0.250 0.178 0.749

No. 11
! ScCoMo2 (PBE-GGA, relaxed); values from VASP
! **Volume**: 62.7 Å³/cell
! **E**: -8.5976 eV/atom
! **ΔH_f (0 K)**: 177 meV per atom
&SYSTEM
  ibrav = 0, nat = 4, ntyp = 3
/
ATOMIC_SPECIES
Co 58.93 Co.upf
Mo 95.94 Mo.upf
Sc 44.96 Sc.upf
CELL_PARAMETERS angstrom
2.750 0.000 0.000
0.000 2.750 0.000
0.000 0.000 8.290
ATOMIC_POSITIONS crystal
Co 0.500 0.500 0.750
Mo 0.000 0.000 0.963
Mo 0.000 0.000 0.537
Sc 0.500 0.500 0.250

No. 12
! Ba4Te3As (PBE-GGA, relaxed); values from VASP
! **Volume**: 344.7 Å³/cell
! **E**: -4.2255 eV/atom
! **Formation energy without anion corrections**: -1.50 eV per atom
&SYSTEM
  ibrav = 0, nat = 8, ntyp = 3
/
ATOMIC_SPECIES
As 74.92 As.upf
Te 127.60 Te.upf
Ba 137.33 Ba.upf
CELL_PARAMETERS angstrom
7.012 0.000 0.000
0.000 7.012 0.000
0.000 0.000 7.012
ATOMIC_POSITIONS crystal
As 0.000 0.000 0.000
Te 0.000 0.500 0.500
Te 0.500 0.000 0.500
Te 0.500 0.500 0.000
Ba 0.500 0.000 0.000
Ba 0.000 0.500 0.000
Ba 0.000 0.000 0.500
Ba 0.500 0.500 0.500

No. 13
! CaEr5Tl4 (PBE-GGA, relaxed); values from VASP
! **Volume**: 304.7 Å³/cell
! **E**: -3.5111 eV/atom
! **ΔH_f (0 K)**: -83 meV per atom
&SYSTEM
  ibrav = 0, nat = 10, ntyp = 3
/
ATOMIC_SPECIES
Ca 40.08 Ca.upf
Er 167.26 Er.upf
Tl 204.38 Tl.upf
CELL_PARAMETERS angstrom
-2.758 -2.258 1.126
5.650 -3.733 6.351
-1.036 7.069 5.440
ATOMIC_POSITIONS crystal
Ca 0.500 0.000 0.000
Er 0.805 0.615 0.610
Er 0.852 0.229 0.703
Er 0.148 0.771 0.297
Er 0.500 0.500 0.000
Er 0.195 0.385 0.390
Tl 0.321 0.923 0.641
Tl 0.965 0.748 0.930
Tl 0.679 0.077 0.359
Tl 0.035 0.252 0.070

No. 14
! Mg2Zn2Pd (PBE-GGA, relaxed); values from VASP
! **Volume**: 91.8 Å³/cell
! **E**: -2.3535 eV/atom
! **ΔH_f (0 K)**: -168 meV per atom
&SYSTEM
  ibrav = 0, nat = 5, ntyp = 3
/
ATOMIC_SPECIES
Zn 65.41 Zn.upf
Mg 24.30 Mg.upf
Pd 106.42 Pd.upf
CELL_PARAMETERS angstrom
-1.519 2.945 0.912
-3.081 -1.411 -0.574
-2.565 -1.654 7.545
ATOMIC_POSITIONS crystal
Zn 0.750 0.250 0.500
Zn 0.250 0.750 0.500
Mg 0.406 0.406 0.188
Mg 0.594 0.594 0.812
Pd 0.000 0.000 0.000

No. 15
! Sr2MnCuOs (PBE-GGA, relaxed); values from VASP
! **Volume**: 143.2 Å³/cell
! **E**: -4.2055 eV/atom
! **ΔH_f (0 K)**: 1366 meV per atom
&SYSTEM
  ibrav = 0, nat = 5, ntyp = 4
/
ATOMIC_SPECIES
Sr 87.62 Sr.upf
Mn 54.94 Mn.upf
Os 190.23 Os.upf
Cu 63.55 Cu.upf
CELL_PARAMETERS angstrom
-4.916 -0.932 2.692
0.677 -4.375 -0.278
2.714 0.103 4.990
ATOMIC_POSITIONS crystal
Sr 0.000 0.000 0.500
Sr 0.500 0.000 0.000
Mn 0.000 0.000 0.000
Os 0.500 0.500 0.500
Cu 0.000 0.500 0.000

No. 16
! Dy2Ho3N4 (PBE-GGA, relaxed); values from VASP
! **Volume**: 148.7 Å³/cell
! **E**: -7.7846 eV/atom
! **Formation energy without anion corrections**: -1.54 eV per atom
&SYSTEM
  ibrav = 0, nat = 9, ntyp = 3
/
ATOMIC_SPECIES
Dy 162.50 Dy.upf
Ho 164.93 Ho.upf
N 14.01 N.upf
CELL_PARAMETERS angstrom
3.370 0.000 0.829
1.496 5.718 1.184
-0.120 0.492 7.755
ATOMIC_POSITIONS crystal
Dy 0.606 0.177 0.611
Dy 0.394 0.823 0.389
Ho 0.000 0.000 0.000
Ho 0.204 0.402 0.190
Ho 0.796 0.598 0.810
N 0.801 0.097 0.302
N 0.199 0.903 0.698
N 0.398 0.302 0.903
N 0.602 0.698 0.097

No. 17
! RbBa3 (PBE-GGA, relaxed); values from VASP
! **Volume**: 276.9 Å³/cell
! **E**: -1.5590 eV/atom
! **ΔH_f (0 K)**: 125 meV per atom
&SYSTEM
  ibrav = 0, nat = 4, ntyp = 2
/
ATOMIC_SPECIES
Ba 137.33 Ba.upf
Rb 85.47 Rb.upf
CELL_PARAMETERS angstrom
-4.333 5.522 4.042
-7.923 -0.690 -1.535
5.704 -5.300 2.232
ATOMIC_POSITIONS crystal
Ba 0.750 0.250 0.500
Ba 0.250 0.750 0.500
Ba 0.500 0.500 0.000
Rb 0.000 0.000 0.000

No. 18
! AlBi3O9 (PBE-GGA, relaxed); values from VASP
! **Volume**: 162.5 Å³/cell
! **E**: -5.3395 eV/atom
! **Formation energy without anion corrections**: -0.72 eV per atom
&SYSTEM
  ibrav = 0, nat = 13, ntyp = 3
/
ATOMIC_SPECIES
Al 26.98 Al.upf
Bi 208.98 Bi.upf
O 16.00 O.upf
CELL_PARAMETERS angstrom
3.613 0.000 0.000
0.000 3.613 0.000
0.000 0.000 12.455
ATOMIC_POSITIONS crystal
Al 0.500 0.500 0.000
Bi 0.000 0.000 0.779
Bi 0.000 0.000 0.221
Bi 0.000 0.000 0.500
O 0.500 0.000 0.000
O 0.500 0.000 0.342
O 0.500 0.000 0.658
O 0.500 0.500 0.845
O 0.500 0.500 0.155
O 0.500 0.500 0.500
O 0.000 0.500 0.000
O 0.000 0.500 0.342
O 0.000 0.500 0.658

No. 19
! Ca2Te2Pb (PBE-GGA, relaxed); values from VASP
! **Volume**: 310.7 Å³/cell
! **E**: -3.6719 eV/atom
! **Formation energy without anion corrections**: -0.87 eV per atom
&SYSTEM
  ibrav = 0, nat = 10, ntyp = 3
/
ATOMIC_SPECIES
Pb 207.20 Pb.upf
Ca 40.08 Ca.upf
Te 127.60 Te.upf
CELL_PARAMETERS angstrom
8.702 0.000 0.000
0.000 8.702 0.000
0.000 0.000 4.103
ATOMIC_POSITIONS crystal
Pb 0.000 0.000 0.000
Pb 0.500 0.500 0.000
Ca 0.354 0.854 0.000
Ca 0.854 0.646 0.000
Ca 0.646 0.146 0.000
Ca 0.146 0.354 0.000
Te 0.162 0.662 0.500
Te 0.662 0.838 0.500
Te 0.838 0.338 0.500
Te 0.338 0.162 0.500

No. 20
! CuSb4Rh (PBE-GGA, relaxed); values from VASP
! **Volume**: 154.8 Å³/cell
! **E**: -3.7854 eV/atom
! **Formation energy without anion corrections**: 0.87 eV per atom
&SYSTEM
  ibrav = 0, nat = 6, ntyp = 3
/
ATOMIC_SPECIES
Cu 63.55 Cu.upf
Sb 121.76 Sb.upf
Rh 102.91 Rh.upf
CELL_PARAMETERS angstrom
5.580 0.430 2.235
1.066 3.496 4.792
1.315 -2.502 5.323
ATOMIC_POSITIONS crystal
Cu 0.750 0.750 0.750
Sb 0.873 0.376 0.376
Sb 0.376 0.376 0.873
Sb 0.376 0.873 0.376
Sb 0.376 0.376 0.376
Rh 0.000 0.000 0.000